Here is a relaxed LaHoCoNi crystal from Alexandria via LeMat-Bulk. Energies are from PBE.

Calculated values
M_tot = 0.00 μB/f.u.
formation energy = -166 meV/atom

Structure (POSCAR):
```
LaHoCoNi
1.0
0.000 3.430 3.430
3.430 0.000 3.430
3.430 3.430 0.000
La Ho Co Ni
1 1 1 1
Direct
0.000 0.000 0.000
0.500 0.500 0.500
0.250 0.250 0.250
0.750 0.750 0.750
```